Here is Y6Se5N after structural relaxation from the Alexandria database. Energies are from PBE.

Output
Crystal system ... monoclinic
Size of the total moment ... 0.000 μB/cell
E_form (uncorrected) ... -1.72 eV per atom
Final energy ... -7.10 eV/atom

Lattice parameters (Å, degrees): 6.9424 12.0263 6.9185 90.00 109.33 90.00
With the nearest neighbours (Å) after each atom.
Space group C2/m (No. 12)
Asymmetric unit:
Y 0.2194 0.0000 0.2727 (multiplicity 4)  1 N 2.53
Y 0.2188 0.1463 0.7187 (multiplicity 8)  1 N 2.48
Se 0.0000 0.1755 0.0000 (multiplicity 4)  6 Y 2.86-3.11
Se 0.0000 0.3342 0.5000 (multiplicity 4)  6 Y 2.85-2.87
Se 0.0000 0.5000 0.0000 (multiplicity 2)  6 Y 2.86-3.13
N 0.0000 0.0000 0.5000 (multiplicity 2)  6 Y 2.48-2.53

---

Here is Y3Se2N2 after structural relaxation from the Alexandria database. Energies are from PBE.

Output
Crystal system ... monoclinic
Size of the total moment ... 0.873 μB/cell
E_form (uncorrected) ... -1.52 eV per atom
Final energy ... -7.66 eV/atom

Lattice parameters (Å, degrees): 6.4363 7.1792 7.1364 90.00 115.98 90.00
With the nearest neighbours (Å) after each atom.
Space group P2_1/c (No. 14)
Asymmetric unit:
Y 0.0000 0.0000 0.0000 (multiplicity 2)  2 N 2.23
Y 0.3931 0.1167 0.7678 (multiplicity 4)  3 N 2.29-2.31
Se 0.1759 0.6487 0.9182 (multiplicity 4)  4 Y 2.89-3.18
N 0.3459 0.1193 0.0681 (multiplicity 4)  4 Y 2.23-2.31

---

Here is YSe2N after structural relaxation from the Alexandria database. Energies are from PBE.

Output
Crystal system ... trigonal
Size of the total moment ... 0.000 μB/cell
E_form (uncorrected) ... 0.84 eV per atom
Final energy ... -4.60 eV/atom

Lattice parameters (Å, degrees): 3.5021 3.5021 24.3914 90.00 90.00 120.00
With the nearest neighbours (Å) after each atom.
Space group R-3m (No. 166, hexagonal axes)
Asymmetric unit:
Y 0.0000 0.0000 0.0000 (multiplicity 3)  2 Se 2.79
Se 0.0000 0.0000 0.1142 (multiplicity 6)  3 N 2.39
N 0.0000 0.0000 0.5000 (multiplicity 3)  6 Se 2.39

---

Repeat the second record exactly.
Here is Y3Se2N2 after structural relaxation from the Alexandria database. Energies are from PBE.

Output
Crystal system ... monoclinic
Size of the total moment ... 0.873 μB/cell
E_form (uncorrected) ... -1.52 eV per atom
Final energy ... -7.66 eV/atom

Lattice parameters (Å, degrees): 6.4363 7.1792 7.1364 90.00 115.98 90.00
With the nearest neighbours (Å) after each atom.
Space group P2_1/c (No. 14)
Asymmetric unit:
Y 0.0000 0.0000 0.0000 (multiplicity 2)  2 N 2.23
Y 0.3931 0.1167 0.7678 (multiplicity 4)  3 N 2.29-2.31
Se 0.1759 0.6487 0.9182 (multiplicity 4)  4 Y 2.89-3.18
N 0.3459 0.1193 0.0681 (multiplicity 4)  4 Y 2.23-2.31

---

- The highest E_form (uncorrected) belongs to which entry?
  YSe2N